PBE-GGA LiScGeO4, relaxed; total DFT energy (no corrections) = -7.127 eV/atom; excess energy over the best structure of this formula in the dataset = 0.021 eV/atom; energy relative to the elements, uncorrected = -2.456 eV/atom; mass density = 3.9 g cm⁻³
1.0
-4.6201 -0.9494 2.2248
1.1724 -3.2877 -3.8746
2.8402 -3.9510 4.2119
O Ge Li Sc
8 2 2 2
direct
0.2626 0.2262 0.2500 O
0.2635 0.7365 0.0247 O
0.7365 0.2635 0.9753 O
0.7365 0.2635 0.5247 O
0.7738 0.7374 0.2500 O
0.2262 0.2626 0.7500 O
0.2635 0.7365 0.4753 O
0.7374 0.7738 0.7500 O
0.1522 0.8478 0.2500 Ge
0.8478 0.1522 0.7500 Ge
0.8360 0.1640 0.2500 Li
0.1640 0.8360 0.7500 Li
0.5000 0.5000 0.0000 Sc
0.5000 0.5000 0.5000 Sc